This record from Alexandria via LeMat-Bulk describes an optimized crystal structure of Er2Al3Mo. The functional is PBE.

Unit cell a=5.5536 b=5.5536 c=13.3325 alpha=90.00 beta=90.00 gamma=120.00
Space group R-3m (No. 166, hexagonal axes)
Asymmetric unit:
Er 0.0000 0.0000 0.1286 (multiplicity 6)
Al 0.0000 0.5000 0.0000 (multiplicity 9)
Mo 0.0000 0.0000 0.5000 (multiplicity 3)

Properties
Formation enthalpy at 0 K = -0.41 eV/atom
Total magnetic moment = 0.00 μB per cell